First-principles (PBE) data for a relaxed BaCu2NiP6 crystal, as listed in Alexandria.

Cell and atoms, written as POSCAR:
```
BaCu2NiP6
1.0
2.618 1.511 8.273
-2.618 1.511 8.273
0.000 -3.023 8.273
Ba Cu Ni P
1 2 1 6
Direct
0.000 0.000 0.000
0.181 0.181 0.181
0.819 0.819 0.819
0.500 0.500 0.500
0.134 0.564 0.564
0.436 0.436 0.866
0.436 0.866 0.436
0.564 0.134 0.564
0.564 0.564 0.134
0.866 0.436 0.436
```

Values from the calculation:
SG: No. 166
Spin magnetization in μB per formula unit: 0.00
Electronic total energy in eV/f.u.: -49.285